# Mn2HgCl2O2 | the Alexandria database | PBE+U | relaxed
data_Mn2HgCl2O2
_space_group_name_H-M_alt 'C 1 2/m 1'
_space_group_IT_number 12
_cell_length_a 12.742
_cell_length_b 3.547
_cell_length_c 6.106
_cell_angle_alpha 90.00
_cell_angle_beta 106.64
_cell_angle_gamma 90.00
loop_
_space_group_symop_operation_xyz
'x,y,z'
'-x,-y,-z'
'-x,y,-z'
'x,-y,z'
'x+1/2,y+1/2,z'
'-x+1/2,-y+1/2,-z'
'-x+1/2,y+1/2,-z'
'x+1/2,-y+1/2,z'
loop_
_atom_site_label
_atom_site_fract_x
_atom_site_fract_y
_atom_site_fract_z
Mn1 0.249 0.000 0.277
Hg1 0.000 0.000 0.500
Cl1 0.130 0.500 0.003
O1 0.165 0.000 0.541
# - E: -0.3900 Ry per atom